[1]
BeAl2Ag2 PBE optimized geometry; distance to the lowest polymorph of the same formula = 0.0000 eV/atom; calculated formation energy = 0.2448 eV per atom; crystal system = tetragonal; space-group type = P4/mbm, No. 127
1.0
-6.098 0.748 -1.045
0.049 -4.930 -3.812
-0.875 -2.549 3.285
Ag Be Al
4 2 4
Direct
0.660 0.840 0.500 Ag
0.340 0.160 0.500 Ag
0.840 0.340 0.500 Ag
0.160 0.660 0.500 Ag
0.500 0.500 0.000 Be
0.000 0.000 0.000 Be
0.154 0.346 0.000 Al
0.846 0.654 0.000 Al
0.654 0.154 0.000 Al
0.346 0.846 0.000 Al

---

[2]
Ga3Hg5Pb12 PBE optimized geometry; calculated formation energy = 0.1525 eV per atom; crystal system = cubic; space-group type = Ia-3d, No. 230
1.0
-12.972 7.153 3.916
-1.727 -6.549 -13.745
3.243 -10.762 10.414
Hg Pb Ga
20 48 12
Direct
0.625 0.750 0.875 Hg
0.750 0.625 0.375 Hg
0.375 0.250 0.125 Hg
0.125 0.375 0.250 Hg
0.000 0.500 0.000 Hg
0.875 0.250 0.625 Hg
0.000 0.500 0.500 Hg
0.500 0.000 0.500 Hg
0.500 0.500 0.500 Hg
0.000 0.000 0.500 Hg
0.000 0.000 0.000 Hg
0.375 0.125 0.750 Hg
0.250 0.875 0.125 Hg
0.625 0.875 0.250 Hg
0.750 0.125 0.875 Hg
0.250 0.375 0.625 Hg
0.500 0.500 0.000 Hg
0.125 0.750 0.375 Hg
0.875 0.625 0.750 Hg
0.500 0.000 0.000 Hg
0.438 0.369 0.603 Pb
0.665 0.431 0.562 Pb
0.931 0.562 0.165 Pb
0.369 0.931 0.766 Pb
0.631 0.562 0.897 Pb
0.734 0.131 0.069 Pb
0.931 0.369 0.266 Pb
0.562 0.631 0.397 Pb
0.562 0.931 0.665 Pb
0.431 0.766 0.869 Pb
0.165 0.062 0.931 Pb
0.335 0.569 0.438 Pb
0.835 0.938 0.069 Pb
0.869 0.603 0.938 Pb
0.069 0.438 0.835 Pb
0.603 0.869 0.438 Pb
0.631 0.069 0.234 Pb
0.938 0.103 0.869 Pb
0.897 0.062 0.631 Pb
0.569 0.335 0.938 Pb
0.234 0.665 0.103 Pb
0.103 0.165 0.234 Pb
0.766 0.431 0.369 Pb
0.069 0.631 0.734 Pb
0.766 0.335 0.897 Pb
0.266 0.869 0.931 Pb
0.131 0.734 0.569 Pb
0.165 0.103 0.734 Pb
0.603 0.734 0.665 Pb
0.335 0.766 0.397 Pb
0.734 0.603 0.165 Pb
0.131 0.397 0.062 Pb
0.431 0.665 0.062 Pb
0.369 0.438 0.103 Pb
0.397 0.266 0.335 Pb
0.569 0.234 0.131 Pb
0.103 0.938 0.369 Pb
0.869 0.266 0.431 Pb
0.266 0.397 0.835 Pb
0.438 0.069 0.335 Pb
0.665 0.234 0.603 Pb
0.234 0.569 0.631 Pb
0.397 0.131 0.562 Pb
0.938 0.835 0.569 Pb
0.062 0.897 0.131 Pb
0.897 0.835 0.766 Pb
0.835 0.897 0.266 Pb
0.062 0.165 0.431 Pb
0.625 0.250 0.375 Ga
0.875 0.750 0.125 Ga
0.125 0.250 0.875 Ga
0.750 0.375 0.125 Ga
0.375 0.750 0.625 Ga
0.375 0.625 0.250 Ga
0.750 0.875 0.625 Ga
0.875 0.125 0.250 Ga
0.625 0.375 0.750 Ga
0.250 0.625 0.875 Ga
0.250 0.125 0.375 Ga
0.125 0.875 0.750 Ga

---

[3]
TbGd2C PBE optimized geometry; calculated formation energy = -0.0547 eV per atom; crystal system = trigonal; space-group type = R-3m, No. 166
1.0
3.562 0.000 0.000
1.781 3.085 0.000
1.781 1.028 9.738
Tb Gd C
1 2 1
Direct
0.000 0.000 0.000 Tb
0.880 0.880 0.359 Gd
0.120 0.120 0.641 Gd
0.500 0.500 0.500 C

---

| no. | volume (Å³/cell) | Fermi-level density of states (states/eV/cell) |
| --- | --- | --- |
| 1 | 165.03 | 2.2 |
| 2 | 2769.40 | 38.8 |
| 3 | 106.99 | 3.8 |